# 1
A crystal of FeSb relaxed with PBEsol. Source: the Alexandria database, functional meta-GGA SCAN.

Cell and atoms, written as POSCAR:
```
FeSb
1.0
3.942 0.000 0.000
-1.971 3.414 0.000
0.000 0.000 4.945
Fe Sb
2 2
direct
0.000 0.000 0.000
0.000 0.000 0.500
0.333 0.667 0.250
0.667 0.333 0.750
```

Results
**Space group**: P6_3/mmc (194)
**Density of states at the Fermi level**: 3.9 states/eV per cell
**Final energy**: -27.605 eV/atom
**Formation energy from raw total energies**: 0.090 eV/atom

=====

# 2
A crystal of Sr2NiAg relaxed with PBEsol. Source: the Alexandria database, functional meta-GGA SCAN.

Cell and atoms, written as POSCAR:
```
Sr2NiAg
1.0
4.397 0.000 0.000
0.000 4.361 0.000
0.000 0.000 11.387
Sr Ni Ag
4 2 2
direct
0.000 0.000 0.000
0.000 0.500 0.500
0.500 0.000 0.282
0.500 0.500 0.782
0.000 0.000 0.702
0.000 0.500 0.202
0.500 0.000 0.581
0.500 0.500 0.081
```

Results
**Energy of formation**: -0.30 eV per formula unit
**Space group**: Amm2 (38)
**Density of states at the Fermi level**: 3.8 states/eV per cell
**Final energy**: -23.099 eV/atom

=====

# 3
A crystal of LiMo3Pb relaxed with PBEsol. Source: the Alexandria database, functional meta-GGA SCAN.

Cell and atoms, written as POSCAR:
```
LiMo3Pb
1.0
4.294 0.000 0.000
0.000 4.294 0.000
0.000 0.000 4.294
Li Mo Pb
1 3 1
direct
0.000 0.000 0.000
0.000 0.000 0.500
0.000 0.500 0.000
0.500 0.000 0.000
0.500 0.500 0.500
```

Results
**Energy of formation**: 6.67 eV per formula unit
**Space group**: Pm-3m (221)
**Density of states at the Fermi level**: 5.3 states/eV per cell
**Final energy**: -35.232 eV/atom

=====

# 4
A crystal of Ho2Mn12P7 relaxed with PBEsol. Source: the Alexandria database, functional meta-GGA SCAN.

Cell and atoms, written as POSCAR:
```
Ho2Mn12P7
1.0
9.105 0.000 0.000
-4.553 7.885 0.000
0.000 0.000 3.561
Ho Mn P
2 12 7
direct
0.000 0.000 0.000
0.333 0.667 0.500
0.058 0.289 0.500
0.092 0.711 0.000
0.231 0.942 0.500
0.289 0.381 0.000
0.390 0.177 0.000
0.546 0.435 0.500
0.565 0.112 0.500
0.619 0.908 0.000
0.711 0.769 0.500
0.787 0.610 0.000
0.823 0.213 0.000
0.888 0.454 0.500
0.077 0.454 0.000
0.259 0.208 0.500
0.377 0.923 0.000
0.546 0.623 0.000
0.667 0.333 0.000
0.792 0.051 0.500
0.949 0.741 0.500
```

Results
**Energy of formation**: -17.22 eV per formula unit
**Space group**: P-6 (174)
**Density of states at the Fermi level**: 9.8 states/eV per cell
**Final energy**: -19.383 eV/atom

=====

# 5
A crystal of SrCaLa2 relaxed with PBEsol. Source: the Alexandria database, functional meta-GGA SCAN.

Cell and atoms, written as POSCAR:
```
SrCaLa2
1.0
3.767 0.000 0.000
0.000 5.087 0.000
0.000 0.000 8.182
Sr Ca La
1 1 2
direct
0.000 0.000 0.000
0.500 0.500 0.716
0.000 0.000 0.459
0.500 0.500 0.281
```

Results
**Energy above the lowest structure with this stoichiometry**: 0.18 eV/f.u.
**Energy of formation**: 0.39 eV per formula unit
**Space group**: Pmm2 (25)
**Density of states at the Fermi level**: 5.1 states/eV per cell
**Final energy**: -29.441 eV/atom

=====

# 6
A crystal of Cr2CoRu relaxed with PBEsol. Source: the Alexandria database, functional meta-GGA SCAN.

Cell and atoms, written as POSCAR:
```
Cr2CoRu
1.0
4.083 0.000 0.000
0.000 4.083 0.000
0.000 0.000 2.861
Cr Co Ru
2 1 1
direct
0.000 0.500 0.000
0.500 0.000 0.000
0.000 0.000 0.500
0.500 0.500 0.500
```

Results
**Energy of formation**: 0.39 eV per formula unit
**Space group**: P4/mmm (123)
**Density of states at the Fermi level**: 3.2 states/eV per cell
**Final energy**: -22.127 eV/atom

=====

# 7
A crystal of BaIn2Sb2 relaxed with PBEsol. Source: the Alexandria database, functional meta-GGA SCAN.

Cell and atoms, written as POSCAR:
```
BaIn2Sb2
1.0
5.516 0.000 0.000
0.000 5.516 0.000
0.000 0.000 10.205
Ba In Sb
2 4 4
direct
0.000 0.000 0.000
0.500 0.500 0.500
0.000 0.000 0.362
0.000 0.000 0.638
0.500 0.500 0.138
0.500 0.500 0.862
0.000 0.500 0.250
0.000 0.500 0.750
0.500 0.000 0.250
0.500 0.000 0.750
```

Results
**Space group**: I4/mmm (139)
**Density of states at the Fermi level**: 2.8 states/eV per cell
**Final energy**: -36.692 eV/atom
**Formation energy from raw total energies**: -0.523 eV/atom

=====

# 8
A crystal of TlNiHg2 relaxed with PBEsol. Source: the Alexandria database, functional meta-GGA SCAN.

Cell and atoms, written as POSCAR:
```
TlNiHg2
1.0
2.961 0.000 0.000
0.000 4.430 0.000
0.000 0.000 12.272
Tl Ni Hg
2 2 4
direct
0.000 0.000 0.000
0.500 0.500 0.500
0.000 0.000 0.500
0.500 0.500 0.000
0.000 0.500 0.187
0.000 0.500 0.813
0.500 0.000 0.313
0.500 0.000 0.687
```

Results
**Energy above the lowest structure with this stoichiometry**: 0.00 eV/f.u.
**Energy of formation**: 0.73 eV per formula unit
**Space group**: Immm (71)
**Density of states at the Fermi level**: 3.6 states/eV per cell
**Final energy**: -56.034 eV/atom

=====

Copy entry 4 word for word.
A crystal of Ho2Mn12P7 relaxed with PBEsol. Source: the Alexandria database, functional meta-GGA SCAN.

Cell and atoms, written as POSCAR:
```
Ho2Mn12P7
1.0
9.105 0.000 0.000
-4.553 7.885 0.000
0.000 0.000 3.561
Ho Mn P
2 12 7
direct
0.000 0.000 0.000
0.333 0.667 0.500
0.058 0.289 0.500
0.092 0.711 0.000
0.231 0.942 0.500
0.289 0.381 0.000
0.390 0.177 0.000
0.546 0.435 0.500
0.565 0.112 0.500
0.619 0.908 0.000
0.711 0.769 0.500
0.787 0.610 0.000
0.823 0.213 0.000
0.888 0.454 0.500
0.077 0.454 0.000
0.259 0.208 0.500
0.377 0.923 0.000
0.546 0.623 0.000
0.667 0.333 0.000
0.792 0.051 0.500
0.949 0.741 0.500
```

Results
**Energy of formation**: -17.22 eV per formula unit
**Space group**: P-6 (174)
**Density of states at the Fermi level**: 9.8 states/eV per cell
**Final energy**: -19.383 eV/atom